# SnWO5 (PBE with a Hubbard U, relaxed)
data_SnWO5
_cell_length_a 3.742
_cell_length_b 6.537
_cell_length_c 7.739
_cell_angle_alpha 90.00
_cell_angle_beta 90.00
_cell_angle_gamma 90.00
_symmetry_space_group_name_H-M 'P 1'
_symmetry_Int_Tables_number 1
loop_
_symmetry_equiv_pos_as_xyz
'x,y,z'
loop_
_atom_site_label
_atom_site_type_symbol
_atom_site_fract_x
_atom_site_fract_y
_atom_site_fract_z
Sn1 Sn 0.000 0.000 0.000
Sn2 Sn 0.500 0.500 0.500
W1 W 0.000 0.000 0.500
W2 W 0.500 0.500 0.000
O1 O 0.000 0.000 0.254
O2 O 0.000 0.000 0.746
O3 O 0.000 0.304 0.500
O4 O 0.000 0.500 0.000
O5 O 0.000 0.696 0.500
O6 O 0.500 0.000 0.500
O7 O 0.500 0.196 0.000
O8 O 0.500 0.500 0.246
O9 O 0.500 0.500 0.754
O10 O 0.500 0.804 0.000
# E_tot   -95.399 eV for the cell shown